Record 1
A relaxed MnV2Mo2 crystal. Source: the Alexandria database, functional PBE.

Cell: 5.3097 7.9788 7.4096 Å, 90.00 110.09 90.00°
With the nearest neighbours (Å) after each atom.
Space group C2/m (No. 12)
Unique sites:
Mn (0.0000, 0.2434, 0.0000) (multiplicity 4)  4 V 2.38-2.41, 4 Mo 2.48-2.57, 2 Mn 2.66
V (0.1200, 0.1678, 0.7300) (multiplicity 8)  2 Mn 2.38-2.41, 2 Mo 2.52-2.54
Mo (0.1966, 0.5000, 0.8844) (multiplicity 4)  4 Mn 2.48-2.57
Mo (0.2342, 0.5000, 0.5083) (multiplicity 4)  1 Mo 2.45, 4 V 2.52-2.54

=====

Record 2
A relaxed LiPmPt crystal. Source: the Alexandria database, functional PBE.

Cell: 7.2910 7.2910 4.1146 Å, 90.00 90.00 120.00°
With the nearest neighbours (Å) after each atom.
Space group P-62m (No. 189)
Unique sites:
Li (0.0000, 0.2327, 0.0000) (multiplicity 3)  4 Pt 2.67-2.87, 2 Li 2.94
Pm (0.0000, 0.5920, 0.5000) (multiplicity 3)  5 Pt 2.97-3.02, 6 Li 3.30-3.33
Pt (0.0000, 0.0000, 0.5000) (multiplicity 1)  6 Li 2.67, 3 Pm 2.97
Pt (0.3333, 0.6667, 0.0000) (multiplicity 2)  3 Li 2.87, 6 Pm 3.02

=====

| no. | total DFT energy (no corrections) (hartree per atom) | V (Å³/f.u.) |
| --- | --- | --- |
| 1 | -0.350 | 73.7 |
| 2 | -0.186 | 63.1 |